Record 1
Entry from Alexandria: an optimized crystal structure of POsSeS2 (PBE).

Calculated values
uncorrected formation energy	0.668	eV per atom
magnetization	0.000	μB per cell
energy above the most stable polymorph in this dataset	0	meV per atom

abc: 4.432 4.432 5.123
angles: 90.00 90.00 90.00
Positions (direct):
1 S 0.500 0.000 0.000
2 S 0.000 0.500 0.000
3 Se 0.500 0.500 0.500
4 Os 0.000 0.000 0.000
5 P 0.000 0.000 0.500



Record 2
Entry from Alexandria: an optimized crystal structure of Zr2Ag (PBE).

Calculated values
magnetization	0.000	μB per cell
ΔH_f (0 K)	-0.087	eV/f.u.

abc: 3.294 6.324 6.637
angles: 104.71 90.00 105.10
Positions (direct):
1 Zr 0.038 0.076 0.589
2 Zr 0.684 0.368 0.356
3 Zr 0.341 0.682 0.705
4 Zr 0.381 0.762 0.240
5 Ag 0.699 0.397 0.914
6 Ag 0.024 0.047 0.031



Record 3
Entry from Alexandria: an optimized crystal structure of SrAl2Ag (PBE).

Calculated values
magnetization	0.000	μB per cell
ΔH_f (0 K)	0.133	eV/f.u.

abc: 4.998 4.998 4.998
angles: 60.00 60.00 60.00
Positions (direct):
1 Ag 0.500 0.500 0.500
2 Al 0.750 0.750 0.750
3 Al 0.250 0.250 0.250
4 Sr 0.000 0.000 0.000



Record 4
Entry from Alexandria: an optimized crystal structure of CdCo2Rh (PBE).

Calculated values
magnetization	4.078	μB per cell
ΔH_f (0 K)	1.079	eV/f.u.

abc: 4.318 4.318 4.318
angles: 60.00 60.00 60.00
Each line ends with the local moment (μB).
Positions (direct):
1 Co 0.000 0.000 0.000  2.03
2 Co 0.750 0.750 0.750  1.67
3 Cd 0.500 0.500 0.500  -0.02
4 Rh 0.250 0.250 0.250  0.51